{
  "formula": "CaLa2I",
  "functional": "PBE",
  "state": "optimized geometry",
  "lattice_angstrom": [[1.883, 1.087, 12.373], [-1.883, 1.087, 12.373], [0.000, -2.174, 12.373]],
  "species": ["Ca", "La", "La", "I"],
  "fractional_positions": [[0.000, 0.000, 0.000], [0.097, 0.097, 0.097], [0.903, 0.903, 0.903], [0.500, 0.500, 0.500]],
  "crystal_system": "trigonal",
  "raw_formation_energy_ev_per_atom": -0.2781,
  "de_polymorph_mev_per_atom": 0,
  "space_group": "R-3m, No. 166"
}

***

{
  "formula": "ZnCd2Si",
  "functional": "PBE",
  "state": "optimized geometry",
  "lattice_angstrom": [[5.676, -1.370, 0.000], [5.676, 1.370, 0.000], [-2.012, 0.000, 5.097]],
  "species": ["Zn", "Cd", "Cd", "Si"],
  "fractional_positions": [[0.000, 0.000, 0.000], [0.521, 0.521, 0.509], [0.747, 0.747, 0.201], [0.286, 0.286, 0.737]],
  "crystal_system": "monoclinic",
  "raw_formation_energy_ev_per_atom": 0.2437,
  "de_polymorph_mev_per_atom": 21,
  "space_group": "Cm, No. 8"
}

***

{
  "formula": "CuSiMo2",
  "functional": "PBE",
  "state": "optimized geometry",
  "lattice_angstrom": [[1.681, -2.119, 0.000], [1.681, 2.119, 0.000], [0.000, 0.000, 8.009]],
  "species": ["Cu", "Si", "Mo", "Mo"],
  "fractional_positions": [[0.000, 0.000, 0.000], [0.000, 0.000, 0.500], [0.500, 0.500, 0.258], [0.500, 0.500, 0.742]],
  "crystal_system": "orthorhombic",
  "raw_formation_energy_ev_per_atom": 0.1086,
  "space_group": "Cmmm, No. 65"
}

***

{
  "formula": "Th4GePSe2",
  "functional": "PBE",
  "state": "optimized geometry",
  "lattice_angstrom": [[7.307, 0.000, 0.000], [0.000, 4.228, 0.000], [-2.453, 0.000, 6.897]],
  "species": ["Th", "Th", "Th", "Th", "Ge", "P", "Se", "Se"],
  "fractional_positions": [[0.237, 0.000, 0.232], [0.247, 0.500, 0.763], [0.753, 0.500, 0.237], [0.763, 0.000, 0.768], [0.500, 0.000, 0.000], [0.000, 0.500, 0.000], [0.000, 0.000, 0.500], [0.500, 0.500, 0.500]],
  "crystal_system": "monoclinic",
  "raw_formation_energy_ev_per_atom": -1.4089,
  "space_group": "P2/m, No. 10"
}

***

{
  "formula": "Na2ZnPb",
  "functional": "PBE",
  "state": "optimized geometry",
  "lattice_angstrom": [[1.713, 0.989, 11.193], [-1.713, 0.989, 11.193], [0.000, -1.978, 11.193]],
  "species": ["Na", "Na", "Zn", "Pb"],
  "fractional_positions": [[0.095, 0.095, 0.095], [0.905, 0.905, 0.905], [0.500, 0.500, 0.500], [0.000, 0.000, 0.000]],
  "crystal_system": "trigonal",
  "e_form_ev_per_atom": 0.1155,
  "space_group": "R-3m, No. 166"
}

***

{
  "formula": "MnAs2P",
  "functional": "PBE",
  "state": "optimized geometry",
  "lattice_angstrom": [[2.758, 0.000, 0.000], [0.000, 3.501, 0.000], [-0.025, 0.000, 7.058]],
  "species": ["Mn", "As", "As", "P"],
  "fractional_positions": [[0.000, 0.000, 0.000], [0.499, 0.500, 0.230], [0.501, 0.500, 0.770], [0.500, 0.000, 0.500]],
  "crystal_system": "monoclinic",
  "e_form_ev_per_atom": 0.1911,
  "space_group": "P2/m, No. 10"
}

***

{
  "formula": "TbTm2Cu2Si2",
  "functional": "PBE",
  "state": "optimized geometry",
  "lattice_angstrom": [[2.032, 1.173, 10.479], [-2.032, 1.173, 10.479], [0.000, -2.346, 10.479]],
  "species": ["Tb", "Tm", "Tm", "Cu", "Cu", "Si", "Si"],
  "fractional_positions": [[0.000, 0.000, 0.000], [0.120, 0.120, 0.120], [0.880, 0.880, 0.880], [0.397, 0.397, 0.397], [0.603, 0.603, 0.603], [0.271, 0.271, 0.271], [0.729, 0.729, 0.729]],
  "crystal_system": "trigonal",
  "raw_formation_energy_ev_per_atom": -0.4985,
  "space_group": "R-3m, No. 166"
}

***

{
  "formula": "PtCO2",
  "functional": "PBE",
  "state": "optimized geometry",
  "lattice_angstrom": [[1.357, 0.784, 8.697], [-1.357, 0.784, 8.697], [0.000, -1.567, 8.697]],
  "species": ["Pt", "C", "O", "O"],
  "fractional_positions": [[0.000, 0.000, 0.000], [0.500, 0.500, 0.500], [0.455, 0.455, 0.455], [0.545, 0.545, 0.545]],
  "crystal_system": "trigonal",
  "raw_formation_energy_ev_per_atom": -0.4545,
  "space_group": "R-3m, No. 166"
}

***

{
  "formula": "Pu6Ir5Rh",
  "functional": "PBE",
  "state": "optimized geometry",
  "lattice_angstrom": [[-2.424, 3.419, 7.289], [2.424, -3.419, 7.289], [2.424, 3.419, -7.289]],
  "species": ["Pu", "Pu", "Pu", "Pu", "Pu", "Pu", "Ir", "Ir", "Ir", "Ir", "Ir", "Rh"],
  "fractional_positions": [[0.081, 0.332, 0.749], [0.248, 0.000, 0.248], [0.417, 0.668, 0.749], [0.583, 0.332, 0.251], [0.752, 0.000, 0.752], [0.919, 0.668, 0.251], [0.000, 0.500, 0.500], [0.166, 0.166, 0.000], [0.338, 0.838, 0.500], [0.662, 0.162, 0.500], [0.834, 0.834, 0.000], [0.500, 0.500, 0.000]],
  "crystal_system": "orthorhombic",
  "e_form_ev_per_atom": -0.4367,
  "space_group": "Immm, No. 71"
}

***

{
  "formula": "BaZrSiHg2",
  "functional": "PBE",
  "state": "optimized geometry",
  "lattice_angstrom": [[5.578, 0.000, 0.000], [0.000, 5.578, 0.000], [0.000, 0.000, 5.194]],
  "species": ["Ba", "Zr", "Si", "Hg", "Hg"],
  "fractional_positions": [[0.000, 0.000, 0.000], [0.500, 0.500, 0.500], [0.500, 0.500, 0.000], [0.000, 0.500, 0.500], [0.500, 0.000, 0.500]],
  "crystal_system": "tetragonal",
  "raw_formation_energy_ev_per_atom": -0.0662,
  "space_group": "P4/mmm, No. 123"
}

***

{
  "formula": "Nd4DyTm2Sc",
  "functional": "PBE",
  "state": "optimized geometry",
  "lattice_angstrom": [[5.088, 0.000, 0.000], [0.000, 5.103, 0.000], [0.000, 0.000, 9.838]],
  "species": ["Nd", "Nd", "Nd", "Nd", "Dy", "Tm", "Tm", "Sc"],
  "fractional_positions": [[0.000, 0.000, 0.244], [0.000, 0.000, 0.756], [0.500, 0.500, 0.245], [0.500, 0.500, 0.755], [0.500, 0.000, 0.500], [0.000, 0.500, 0.500], [0.500, 0.000, 0.000], [0.000, 0.500, 0.000]],
  "crystal_system": "orthorhombic",
  "e_form_ev_per_atom": 0.0258,
  "space_group": "Pmmm, No. 47"
}

***

{
  "formula": "BaAcAu2",
  "functional": "PBE",
  "state": "optimized geometry",
  "lattice_angstrom": [[3.973, -5.581, 0.000], [3.973, 5.581, 0.000], [0.000, 0.000, 5.627]],
  "species": ["Ba", "Ba", "Ac", "Ac", "Au", "Au", "Au", "Au"],
  "fractional_positions": [[0.116, 0.884, 0.750], [0.884, 0.116, 0.250], [0.370, 0.630, 0.250], [0.630, 0.370, 0.750], [0.156, 0.405, 0.750], [0.405, 0.156, 0.250], [0.595, 0.844, 0.750], [0.844, 0.595, 0.250]],
  "crystal_system": "orthorhombic",
  "de_polymorph_mev_per_atom": 20,
  "e_form_ev_per_atom": -0.7198,
  "space_group": "Cmcm, No. 63"
}

***

{
  "formula": "TmHfNi10",
  "functional": "PBE",
  "state": "optimized geometry",
  "lattice_angstrom": [[3.961, 0.000, 0.000], [0.000, 4.781, 0.000], [0.000, 0.000, 8.277]],
  "species": ["Tm", "Hf", "Ni", "Ni", "Ni", "Ni", "Ni", "Ni", "Ni", "Ni", "Ni", "Ni"],
  "fractional_positions": [[0.000, 0.000, 0.000], [0.000, 0.500, 0.500], [0.000, 0.000, 0.339], [0.000, 0.000, 0.661], [0.000, 0.500, 0.174], [0.000, 0.500, 0.826], [0.500, 0.000, 0.500], [0.500, 0.253, 0.255], [0.500, 0.253, 0.745], [0.500, 0.500, 0.000], [0.500, 0.747, 0.255], [0.500, 0.747, 0.745]],
  "crystal_system": "orthorhombic",
  "e_form_ev_per_atom": -0.3151,
  "space_group": "Pmmm, No. 47"
}

***

{
  "formula": "Ac2YPdO5",
  "functional": "PBE",
  "state": "optimized geometry",
  "lattice_angstrom": [[6.928, 0.000, 0.000], [0.000, 6.928, 0.000], [0.000, 0.000, 6.003]],
  "species": ["Ac", "Ac", "Ac", "Ac", "Y", "Y", "Pd", "Pd", "O", "O", "O", "O", "O", "O", "O", "O", "O", "O"],
  "fractional_positions": [[0.163, 0.337, 0.000], [0.337, 0.837, 0.000], [0.663, 0.163, 0.000], [0.837, 0.663, 0.000], [0.000, 0.000, 0.500], [0.500, 0.500, 0.500], [0.000, 0.500, 0.500], [0.500, 0.000, 0.500], [0.000, 0.000, 0.000], [0.169, 0.669, 0.273], [0.169, 0.669, 0.727], [0.331, 0.169, 0.273], [0.331, 0.169, 0.727], [0.500, 0.500, 0.000], [0.669, 0.831, 0.273], [0.669, 0.831, 0.727], [0.831, 0.331, 0.273], [0.831, 0.331, 0.727]],
  "crystal_system": "tetragonal",
  "raw_formation_energy_ev_per_atom": -2.2992,
  "space_group": "P4/mbm, No. 127"
}

***

{
  "formula": "Cr5N2",
  "functional": "PBE",
  "state": "optimized geometry",
  "lattice_angstrom": [[6.111, -2.265, 0.000], [6.111, 2.265, 0.000], [-0.555, 0.000, 4.906]],
  "species": ["Cr", "Cr", "Cr", "Cr", "Cr", "Cr", "Cr", "Cr", "Cr", "Cr", "N", "N", "N", "N"],
  "fractional_positions": [[0.064, 0.936, 0.750], [0.129, 0.286, 0.299], [0.286, 0.129, 0.799], [0.324, 0.461, 0.094], [0.461, 0.324, 0.594], [0.539, 0.676, 0.406], [0.676, 0.539, 0.906], [0.714, 0.871, 0.201], [0.871, 0.714, 0.701], [0.936, 0.064, 0.250], [0.073, 0.714, 0.427], [0.286, 0.927, 0.073], [0.714, 0.073, 0.927], [0.927, 0.286, 0.573]],
  "crystal_system": "monoclinic",
  "raw_formation_energy_ev_per_atom": -0.2365,
  "space_group": "C2/c, No. 15"
}

***

{
  "formula": "Pm2Bi3Pb",
  "functional": "PBE",
  "state": "optimized geometry",
  "lattice_angstrom": [[7.414, -3.279, 0.000], [7.414, 3.279, 0.000], [-2.780, 0.000, 8.646]],
  "species": ["Pm", "Pm", "Pm", "Pm", "Bi", "Bi", "Bi", "Bi", "Bi", "Bi", "Pb", "Pb"],
  "fractional_positions": [[0.162, 0.164, 0.081], [0.164, 0.162, 0.581], [0.836, 0.838, 0.419], [0.838, 0.836, 0.919], [0.004, 0.996, 0.750], [0.324, 0.327, 0.413], [0.327, 0.324, 0.913], [0.673, 0.676, 0.087], [0.676, 0.673, 0.587], [0.996, 0.004, 0.250], [0.495, 0.505, 0.250], [0.505, 0.495, 0.750]],
  "crystal_system": "monoclinic",
  "e_form_ev_per_atom": -0.5088,
  "space_group": "C2/c, No. 15"
}

***

{
  "formula": "TbPr3Ho6Er2",
  "functional": "PBE",
  "state": "optimized geometry",
  "lattice_angstrom": [[3.097, -5.362, 0.000], [3.097, 5.362, 0.000], [-2.060, 0.000, 11.620]],
  "species": ["Tb", "Pr", "Pr", "Pr", "Ho", "Ho", "Ho", "Ho", "Ho", "Ho", "Er", "Er"],
  "fractional_positions": [[0.000, 0.000, 0.000], [0.167, 0.833, 0.500], [0.500, 0.500, 0.500], [0.833, 0.167, 0.500], [0.082, 0.415, 0.245], [0.252, 0.252, 0.755], [0.415, 0.082, 0.245], [0.585, 0.918, 0.755], [0.748, 0.748, 0.245], [0.918, 0.585, 0.755], [0.333, 0.667, 0.000], [0.667, 0.333, 0.000]],
  "crystal_system": "monoclinic",
  "e_form_ev_per_atom": 0.0215,
  "space_group": "C2/m, No. 12"
}

***

{
  "formula": "Re2SiPt",
  "functional": "PBE",
  "state": "optimized geometry",
  "lattice_angstrom": [[4.783, 0.000, 0.000], [-1.721, 4.587, 0.000], [-0.586, -0.821, 5.346]],
  "species": ["Re", "Re", "Re", "Re", "Si", "Si", "Pt", "Pt"],
  "fractional_positions": [[0.000, 0.000, 0.000], [0.120, 0.669, 0.364], [0.469, 0.034, 0.739], [0.616, 0.572, 0.593], [0.048, 0.522, 0.865], [0.540, 0.078, 0.234], [0.523, 0.527, 0.090], [0.988, 0.141, 0.516]],
  "crystal_system": "triclinic",
  "raw_formation_energy_ev_per_atom": -0.1414,
  "space_group": "P1, No. 1"
}

***

{
  "formula": "CaAgPd",
  "functional": "PBE",
  "state": "optimized geometry",
  "lattice_angstrom": [[-1.817, 1.817, 4.752], [1.817, -1.817, 4.752], [1.817, 1.817, -4.752]],
  "species": ["Ca", "Ag", "Pd"],
  "fractional_positions": [[0.000, 0.000, 0.000], [0.315, 0.315, 0.000], [0.670, 0.670, 0.000]],
  "crystal_system": "tetragonal",
  "de_polymorph_mev_per_atom": 133,
  "e_form_ev_per_atom": -0.3792,
  "space_group": "I4mm, No. 107"
}

***

{
  "formula": "Ti3InHg",
  "functional": "PBE",
  "state": "optimized geometry",
  "lattice_angstrom": [[2.592, -7.420, 0.000], [2.592, 7.420, 0.000], [0.000, 0.000, 5.203]],
  "species": ["Ti", "Ti", "Ti", "Ti", "Ti", "Ti", "In", "In", "Hg", "Hg"],
  "fractional_positions": [[0.000, 0.000, 0.000], [0.000, 0.000, 0.500], [0.096, 0.391, 0.250], [0.391, 0.096, 0.750], [0.609, 0.904, 0.250], [0.904, 0.609, 0.750], [0.178, 0.822, 0.250], [0.822, 0.178, 0.750], [0.439, 0.561, 0.750], [0.561, 0.439, 0.250]],
  "crystal_system": "orthorhombic",
  "de_polymorph_mev_per_atom": 0,
  "e_form_ev_per_atom": 0.1693,
  "space_group": "Cmcm, No. 63"
}

***

{
  "formula": "Si2MoP",
  "functional": "PBE",
  "state": "optimized geometry",
  "lattice_angstrom": [[1.670, -2.341, 0.000], [1.670, 2.341, 0.000], [0.000, 0.000, 7.427]],
  "species": ["Si", "Si", "Mo", "P"],
  "fractional_positions": [[0.000, 0.000, 0.243], [0.000, 0.000, 0.757], [0.500, 0.500, 0.500], [0.500, 0.500, 0.000]],
  "crystal_system": "orthorhombic",
  "raw_formation_energy_ev_per_atom": 0.2900,
  "space_group": "Cmmm, No. 65"
}

***

{
  "formula": "Ho3NiTe",
  "functional": "PBE",
  "state": "optimized geometry",
  "lattice_angstrom": [[8.015, 0.000, 0.000], [0.000, 3.951, 0.000], [-2.348, 0.000, 8.100]],
  "species": ["Ho", "Ho", "Ho", "Ho", "Ho", "Ho", "Ni", "Ni", "Te", "Te"],
  "fractional_positions": [[0.069, 0.250, 0.253], [0.303, 0.250, 0.931], [0.313, 0.750, 0.593], [0.687, 0.250, 0.407], [0.697, 0.750, 0.069], [0.931, 0.750, 0.747], [0.066, 0.250, 0.589], [0.934, 0.750, 0.411], [0.381, 0.750, 0.236], [0.619, 0.250, 0.764]],
  "crystal_system": "monoclinic",
  "raw_formation_energy_ev_per_atom": -0.7122,
  "de_polymorph_mev_per_atom": 0,
  "space_group": "P2_1/m, No. 11"
}

***

{
  "formula": "KThCl6",
  "functional": "PBE",
  "state": "optimized geometry",
  "lattice_angstrom": [[0.000, 5.874, 5.874], [5.874, 0.000, 5.874], [5.874, 5.874, 0.000]],
  "species": ["K", "Th", "Cl", "Cl", "Cl", "Cl", "Cl", "Cl"],
  "fractional_positions": [[0.000, 0.000, 0.000], [0.500, 0.500, 0.500], [0.271, 0.271, 0.729], [0.271, 0.729, 0.271], [0.271, 0.729, 0.729], [0.729, 0.271, 0.271], [0.729, 0.271, 0.729], [0.729, 0.729, 0.271]],
  "crystal_system": "cubic",
  "raw_formation_energy_ev_per_atom": -1.7190,
  "space_group": "Fm-3m, No. 225"
}

***

{
  "formula": "Cs5Cl",
  "functional": "PBE",
  "state": "optimized geometry",
  "lattice_angstrom": [[7.225, -6.255, 0.000], [7.225, 6.255, 0.000], [-6.891, 0.000, 12.320]],
  "species": ["Cs", "Cs", "Cs", "Cs", "Cs", "Cs", "Cs", "Cs", "Cs", "Cs", "Cl", "Cl"],
  "fractional_positions": [[0.051, 0.949, 0.750], [0.219, 0.332, 0.643], [0.239, 0.684, 0.029], [0.316, 0.761, 0.471], [0.332, 0.219, 0.143], [0.668, 0.781, 0.857], [0.684, 0.239, 0.529], [0.761, 0.316, 0.971], [0.781, 0.668, 0.357], [0.949, 0.051, 0.250], [0.000, 0.000, 0.000], [0.000, 0.000, 0.500]],
  "crystal_system": "monoclinic",
  "raw_formation_energy_ev_per_atom": -0.6079,
  "de_polymorph_mev_per_atom": 0,
  "space_group": "C2/c, No. 15"
}

***

{
  "formula": "TaCu3Ge",
  "functional": "PBE",
  "state": "optimized geometry",
  "lattice_angstrom": [[4.347, 0.000, 0.000], [0.000, 4.347, 0.000], [0.000, 0.000, 4.347]],
  "species": ["Ta", "Cu", "Cu", "Cu", "Ge"],
  "fractional_positions": [[0.000, 0.000, 0.000], [0.000, 0.500, 0.500], [0.500, 0.000, 0.500], [0.500, 0.500, 0.000], [0.500, 0.500, 0.500]],
  "crystal_system": "cubic",
  "de_polymorph_mev_per_atom": 0,
  "e_form_ev_per_atom": 0.9243,
  "space_group": "Pm-3m, No. 221"
}